[1]
4
Lattice="-2.1409 -0.5651 1.5672 -2.5543 -0.7532 -3.7608 1.4113 -4.5373 -0.0499" Properties=species:S:1:pos:R:3 comment="LiAgPt2 | the Alexandria database | PBEsol | optimized geometry" dos_at_fermi_per_ev_fu=1.56 delta_e_f_mev_per_atom=-273 final_energy_ev_per_cell=-20.3 vol_a3_per_atom=14.8 de_polymorph_mev_per_atom=25 space_group="P2/m (10)" pbc="T T T"
Ag -2.3476 -0.6591 -1.0968
Pt -0.1425 -1.2979 0.3567
Pt -0.5870 -3.8045 1.1606
Li -0.5715 -2.6452 -1.9053


[2]
4
Lattice="3.6880 0.0000 0.0000 0.0000 4.2280 0.0000 -1.8440 0.0000 5.0929" Properties=species:S:1:pos:R:3 comment="YInPt2 | the Alexandria database | PBEsol | optimized geometry" dos_at_fermi_per_ev_fu=1.20 delta_e_f_mev_per_atom=-898 final_energy_ev_per_cell=-27.3 vol_a3_per_atom=19.9 space_group="Amm2 (38)" pbc="T T T"
Pt 0.0000 2.1140 0.4088
Pt 0.0000 0.0000 2.1203
Y 0.0000 0.0000 4.8962
In 1.8440 2.1140 2.7604


[3]
5
Lattice="-3.6714 0.1383 0.1598 0.1328 -0.6530 3.6166 2.0447 6.3159 -0.8044" Properties=species:S:1:pos:R:3 comment="Zn4Cd | the Alexandria database | PBEsol | optimized geometry" dos_at_fermi_per_ev_fu=1.48 delta_e_f_mev_per_atom=116 final_energy_ev_per_cell=-6.9 vol_a3_per_atom=16.7 de_polymorph_mev_per_atom=46 space_group="I4/mmm (139)" pbc="T T T"
Zn 0.2201 4.8428 0.8663
Zn 0.2041 2.7028 2.3502
Zn -1.6980 3.0984 0.6218
Zn -1.7140 0.9584 2.1057
Cd 0.0000 0.0000 0.0000


[4]
5
Lattice="-0.1496 2.4607 -3.5676 2.2332 -3.0155 -2.1736 -3.7142 -1.9123 -1.1632" Properties=species:S:1:pos:R:3 comment="MnGeF3 | the Alexandria database | PBEsol | optimized geometry" dos_at_fermi_per_ev_fu=1.46 final_energy_ev_per_cell=-26.2 vol_a3_per_atom=16.3 space_group="Pm-3m (221)" pbc="T T T"
F -1.8571 -0.9561 -0.5816
F -0.0748 1.2303 -1.7838
F 1.1166 -1.5077 -1.0868
Ge 0.0000 0.0000 0.0000
Mn -0.8153 -1.2335 -3.4522


[5]
4
Lattice="2.6580 0.0000 0.0000 0.0000 3.8848 0.0000 0.0000 0.0000 5.0936" Properties=species:S:1:pos:R:3 comment="LiTc2Ru | the Alexandria database | PBEsol | optimized geometry" dos_at_fermi_per_ev_fu=3.86 delta_e_f_mev_per_atom=259 final_energy_ev_per_cell=-33.6 vol_a3_per_atom=13.1 de_polymorph_mev_per_atom=60 space_group="Pmm2 (25)" pbc="T T T"
Ru 1.3290 1.9424 3.7361
Tc 1.3290 1.9424 1.3213
Tc 0.0000 0.0000 0.0074
Li 0.0000 0.0000 2.5756


[6]
4
Lattice="-3.2415 0.8747 1.6274 0.6371 -3.2640 3.0232 4.5851 3.5725 2.8909" Properties=species:S:1:pos:R:3 comment="SrZnIn2 | the Alexandria database | PBEsol | optimized geometry" dos_at_fermi_per_ev_fu=1.53 delta_e_f_mev_per_atom=-194 final_energy_ev_per_cell=-10.2 vol_a3_per_atom=26.0 space_group="Pm (6)" pbc="T T T"
In -0.5912 0.1897 0.3293
In -1.3454 -0.2663 3.3366
Sr 0.9883 2.3176 2.2939
Zn 3.6008 1.1660 3.8408


[7]
4
Lattice="3.3703 0.0000 0.0000 1.6851 2.9187 0.0000 1.6851 0.9729 7.8046" Properties=species:S:1:pos:R:3 comment="CoBiS2 | the Alexandria database | PBEsol | optimized geometry" dos_at_fermi_per_ev_fu=0.66 final_energy_ev_per_cell=-22.4 vol_a3_per_atom=19.2 space_group="R-3m (166)" pbc="T T T"
S 1.6851 0.9729 4.9938
S 5.0554 2.9187 2.8108
Bi 0.0000 0.0000 0.0000
Co 3.3703 1.9458 3.9023


[8]
4
Lattice="-0.2618 -2.1422 -1.3245 2.8886 -2.1517 2.9092 -3.5955 -0.4576 3.2315" Properties=species:S:1:pos:R:3 comment="Li2MoRu | the Alexandria database | PBEsol | optimized geometry" dos_at_fermi_per_ev_fu=3.43 delta_e_f_mev_per_atom=351 final_energy_ev_per_cell=-24.5 vol_a3_per_atom=14.0 de_polymorph_mev_per_atom=115 space_group="P2/m (10)" pbc="T T T"
Ru -0.3535 -1.3047 3.0704
Li -0.9887 -0.5683 0.5614
Li -2.8686 -2.0315 1.3457
Mo 1.3134 -2.1470 0.7923